Record 1
# FeCu2GeS4

A relaxed structure of FeCu2GeS4 (PBE-GGA, the Open Quantum Materials Database). Values from VASP.

- theoretical density (Mg/m³) = 4.26
- crystal system = orthorhombic

Geometry as Quantum ESPRESSO input:
```
&SYSTEM
  ibrav = 0, nat = 16, ntyp = 4
/
ATOMIC_SPECIES
Cu 63.55 Cu.upf
Fe 55.84 Fe.upf
Ge 72.64 Ge.upf
S 32.06 S.upf
CELL_PARAMETERS angstrom
-6.388 2.528 2.971
-3.201 -1.863 -5.297
-1.005 -5.546 2.558
ATOMIC_POSITIONS crystal
Cu 0.248 0.672 0.497
Cu 0.752 0.672 0.497
Cu 0.252 0.328 0.997
Cu 0.748 0.328 0.997
Fe 0.500 0.159 0.489
Fe 0.000 0.841 0.989
Ge 0.000 0.170 0.490
Ge 0.500 0.830 0.990
S 0.000 0.839 0.361
S 0.500 0.829 0.362
S 0.252 0.337 0.369
S 0.748 0.337 0.369
S 0.500 0.161 0.861
S 0.000 0.171 0.862
S 0.248 0.663 0.869
S 0.752 0.663 0.869
```


Record 2
# FeCuGeS3

A relaxed structure of FeCuGeS3 (PBE-GGA, the Open Quantum Materials Database). Values from VASP.

- theoretical density (Mg/m³) = 4.74
- crystal system = orthorhombic

Geometry as Quantum ESPRESSO input:
```
&SYSTEM
  ibrav = 0, nat = 12, ntyp = 4
/
ATOMIC_SPECIES
Cu 63.55 Cu.upf
Fe 55.84 Fe.upf
Ge 72.64 Ge.upf
S 32.06 S.upf
CELL_PARAMETERS angstrom
0.084 -0.120 7.019
-1.180 -2.964 -6.254
8.285 -2.982 -0.151
ATOMIC_POSITIONS crystal
Cu 0.314 0.686 0.250
Cu 0.686 0.314 0.750
Fe 0.000 0.000 0.000
Fe 0.000 0.000 0.500
Ge 0.674 0.326 0.250
Ge 0.326 0.674 0.750
S 0.386 0.614 0.027
S 0.046 0.954 0.250
S 0.386 0.614 0.473
S 0.614 0.386 0.527
S 0.954 0.046 0.750
S 0.614 0.386 0.973
```


Record 3
# FeCuGeSb

A relaxed structure of FeCuGeSb (PBE-GGA, the Open Quantum Materials Database). Values from VASP.

- distance to the lowest polymorph of the same formula (eV per formula unit) = 0.00
- theoretical density (Mg/m³) = 7.92
- crystal system = cubic

Geometry as Quantum ESPRESSO input:
```
&SYSTEM
  ibrav = 0, nat = 4, ntyp = 4
/
ATOMIC_SPECIES
Cu 63.55 Cu.upf
Fe 55.84 Fe.upf
Ge 72.64 Ge.upf
Sb 121.76 Sb.upf
CELL_PARAMETERS angstrom
0.000 3.204 3.204
3.204 0.000 3.204
3.204 3.204 0.000
ATOMIC_POSITIONS crystal
Cu 0.750 0.750 0.750
Fe 0.250 0.250 0.250
Ge 0.000 0.000 0.000
Sb 0.500 0.500 0.500
```


Record 4
# ScFeCu4Ge2

A relaxed structure of ScFeCu4Ge2 (PBE-GGA, the Open Quantum Materials Database). Values from VASP.

- theoretical density (Mg/m³) = 7.42
- crystal system = tetragonal

Geometry as Quantum ESPRESSO input:
```
&SYSTEM
  ibrav = 0, nat = 8, ntyp = 4
/
ATOMIC_SPECIES
Cu 63.55 Cu.upf
Fe 55.84 Fe.upf
Ge 72.64 Ge.upf
Sc 44.96 Sc.upf
CELL_PARAMETERS angstrom
-2.929 2.586 -1.731
-2.896 -1.395 2.817
1.634 4.450 3.884
ATOMIC_POSITIONS crystal
Cu 0.500 0.000 0.272
Cu 0.000 0.500 0.272
Cu 0.500 0.000 0.728
Cu 0.000 0.500 0.728
Fe 0.000 0.000 0.500
Ge 0.000 0.000 0.000
Ge 0.500 0.500 0.500
Sc 0.500 0.500 0.000
```


Record 5
# TaFeCuGe

A relaxed structure of TaFeCuGe (PBE-GGA, the Open Quantum Materials Database). Values from VASP.

- distance to the lowest polymorph of the same formula (eV per formula unit) = 0.00
- theoretical density (Mg/m³) = 11.47
- crystal system = cubic

Geometry as Quantum ESPRESSO input:
```
&SYSTEM
  ibrav = 0, nat = 4, ntyp = 4
/
ATOMIC_SPECIES
Cu 63.55 Cu.upf
Fe 55.84 Fe.upf
Ge 72.64 Ge.upf
Ta 180.95 Ta.upf
CELL_PARAMETERS angstrom
-1.234 -1.499 3.772
0.453 2.383 3.481
-3.418 1.628 1.915
ATOMIC_POSITIONS crystal
Cu 0.750 0.750 0.750
Fe 0.250 0.250 0.250
Ge 0.000 0.000 0.000
Ta 0.500 0.500 0.500
```


Record 6
# TaFeCuGe

A relaxed structure of TaFeCuGe (PBE-GGA, the Open Quantum Materials Database). Values from VASP.

- distance to the lowest polymorph of the same formula (eV per formula unit) = 0.63
- theoretical density (Mg/m³) = 10.94
- crystal system = cubic

Geometry as Quantum ESPRESSO input:
```
&SYSTEM
  ibrav = 0, nat = 4, ntyp = 4
/
ATOMIC_SPECIES
Cu 63.55 Cu.upf
Fe 55.84 Fe.upf
Ge 72.64 Ge.upf
Ta 180.95 Ta.upf
CELL_PARAMETERS angstrom
0.000 3.048 3.048
3.048 0.000 3.048
3.048 3.048 0.000
ATOMIC_POSITIONS crystal
Cu 0.500 0.500 0.500
Fe 0.750 0.750 0.750
Ge 0.000 0.000 0.000
Ta 0.250 0.250 0.250
```


Record 7
# TaFeCuGe

A relaxed structure of TaFeCuGe (PBE-GGA, the Open Quantum Materials Database). Values from VASP.

- distance to the lowest polymorph of the same formula (eV per formula unit) = 0.54
- theoretical density (Mg/m³) = 10.97
- crystal system = cubic

Geometry as Quantum ESPRESSO input:
```
&SYSTEM
  ibrav = 0, nat = 4, ntyp = 4
/
ATOMIC_SPECIES
Cu 63.55 Cu.upf
Fe 55.84 Fe.upf
Ge 72.64 Ge.upf
Ta 180.95 Ta.upf
CELL_PARAMETERS angstrom
-1.918 -0.412 3.833
-3.154 -2.884 0.530
0.682 -3.523 2.381
ATOMIC_POSITIONS crystal
Cu 0.750 0.750 0.750
Fe 0.500 0.500 0.500
Ge 0.000 0.000 0.000
Ta 0.250 0.250 0.250
```


Record 8
# TmFeCuGe2

A relaxed structure of TmFeCuGe2 (PBE-GGA, the Open Quantum Materials Database). Values from VASP.

- theoretical density (Mg/m³) = 8.75
- crystal system = tetragonal

Geometry as Quantum ESPRESSO input:
```
&SYSTEM
  ibrav = 0, nat = 5, ntyp = 4
/
ATOMIC_SPECIES
Cu 63.55 Cu.upf
Fe 55.84 Fe.upf
Ge 72.64 Ge.upf
Tm 168.93 Tm.upf
CELL_PARAMETERS angstrom
2.535 4.555 2.773
-0.713 5.607 -1.708
-3.159 -4.854 1.150
ATOMIC_POSITIONS crystal
Cu 0.000 0.000 0.000
Fe 0.500 0.500 0.000
Ge 0.130 0.630 0.500
Ge 0.370 0.870 0.500
Tm 0.750 0.250 0.500
```


Record 9
# FeCuGeW

A relaxed structure of FeCuGeW (PBE-GGA, the Open Quantum Materials Database). Values from VASP.

- distance to the lowest polymorph of the same formula (eV per formula unit) = 0.00
- theoretical density (Mg/m³) = 11.55
- crystal system = cubic

Geometry as Quantum ESPRESSO input:
```
&SYSTEM
  ibrav = 0, nat = 4, ntyp = 4
/
ATOMIC_SPECIES
Cu 63.55 Cu.upf
Fe 55.84 Fe.upf
Ge 72.64 Ge.upf
W 183.84 W.upf
CELL_PARAMETERS angstrom
0.000 3.001 3.001
3.001 0.000 3.001
3.001 3.001 0.000
ATOMIC_POSITIONS crystal
Cu 0.750 0.750 0.750
Fe 0.500 0.500 0.500
Ge 0.000 0.000 0.000
W 0.250 0.250 0.250
```


Record 10
# FeCuGeW

A relaxed structure of FeCuGeW (PBE-GGA, the Open Quantum Materials Database). Values from VASP.

- distance to the lowest polymorph of the same formula (eV per formula unit) = 0.21
- theoretical density (Mg/m³) = 11.58
- crystal system = cubic

Geometry as Quantum ESPRESSO input:
```
&SYSTEM
  ibrav = 0, nat = 4, ntyp = 4
/
ATOMIC_SPECIES
Cu 63.55 Cu.upf
Fe 55.84 Fe.upf
Ge 72.64 Ge.upf
W 183.84 W.upf
CELL_PARAMETERS angstrom
2.665 -2.598 2.030
1.953 1.303 3.530
-1.088 -1.642 3.754
ATOMIC_POSITIONS crystal
Cu 0.500 0.500 0.500
Fe 0.750 0.750 0.750
Ge 0.000 0.000 0.000
W 0.250 0.250 0.250
```


Record 11
# YFeCuGe

A relaxed structure of YFeCuGe (PBE-GGA, the Open Quantum Materials Database). Values from VASP.

- distance to the lowest polymorph of the same formula (eV per formula unit) = 0.57
- theoretical density (Mg/m³) = 6.71
- crystal system = cubic

Geometry as Quantum ESPRESSO input:
```
&SYSTEM
  ibrav = 0, nat = 4, ntyp = 4
/
ATOMIC_SPECIES
Cu 63.55 Cu.upf
Fe 55.84 Fe.upf
Ge 72.64 Ge.upf
Y 88.91 Y.upf
CELL_PARAMETERS angstrom
0.000 3.263 3.263
3.263 0.000 3.263
3.263 3.263 0.000
ATOMIC_POSITIONS crystal
Cu 0.750 0.750 0.750
Fe 0.500 0.500 0.500
Ge 0.000 0.000 0.000
Y 0.250 0.250 0.250
```


Record 12
# YFeCuGe

A relaxed structure of YFeCuGe (PBE-GGA, the Open Quantum Materials Database). Values from VASP.

- distance to the lowest polymorph of the same formula (eV per formula unit) = 0.00
- theoretical density (Mg/m³) = 7.13
- crystal system = cubic

Geometry as Quantum ESPRESSO input:
```
&SYSTEM
  ibrav = 0, nat = 4, ntyp = 4
/
ATOMIC_SPECIES
Cu 63.55 Cu.upf
Fe 55.84 Fe.upf
Ge 72.64 Ge.upf
Y 88.91 Y.upf
CELL_PARAMETERS angstrom
1.465 -3.770 2.022
-2.919 -3.302 1.014
0.110 -3.898 -2.291
ATOMIC_POSITIONS crystal
Cu 0.750 0.750 0.750
Fe 0.250 0.250 0.250
Ge 0.000 0.000 0.000
Y 0.500 0.500 0.500
```


Record 13
# YFeCuGe2

A relaxed structure of YFeCuGe2 (PBE-GGA, the Open Quantum Materials Database). Values from VASP.

- theoretical density (Mg/m³) = 6.99
- crystal system = tetragonal

Geometry as Quantum ESPRESSO input:
```
&SYSTEM
  ibrav = 0, nat = 5, ntyp = 4
/
ATOMIC_SPECIES
Cu 63.55 Cu.upf
Fe 55.84 Fe.upf
Ge 72.64 Ge.upf
Y 88.91 Y.upf
CELL_PARAMETERS angstrom
-2.023 2.023 5.133
2.023 -2.023 5.133
2.023 2.023 -5.133
ATOMIC_POSITIONS crystal
Cu 0.500 0.500 0.000
Fe 0.000 0.000 0.000
Ge 0.627 0.127 0.500
Ge 0.873 0.373 0.500
Y 0.250 0.750 0.500
```


Record 14
# ZnFeCu4Ge2

A relaxed structure of ZnFeCu4Ge2 (PBE-GGA, the Open Quantum Materials Database). Values from VASP.

- theoretical density (Mg/m³) = 8.15
- crystal system = tetragonal

Geometry as Quantum ESPRESSO input:
```
&SYSTEM
  ibrav = 0, nat = 8, ntyp = 4
/
ATOMIC_SPECIES
Cu 63.55 Cu.upf
Fe 55.84 Fe.upf
Ge 72.64 Ge.upf
Zn 65.41 Zn.upf
CELL_PARAMETERS angstrom
-2.408 -2.233 2.502
-1.884 -1.647 -3.284
4.180 -4.608 -0.088
ATOMIC_POSITIONS crystal
Cu 0.500 0.000 0.248
Cu 0.000 0.500 0.248
Cu 0.500 0.000 0.752
Cu 0.000 0.500 0.752
Fe 0.500 0.500 0.000
Ge 0.000 0.000 0.000
Ge 0.500 0.500 0.500
Zn 0.000 0.000 0.500
```


Record 15
# Hf2FeCu

A relaxed structure of Hf2FeCu (PBE-GGA, the Open Quantum Materials Database). Values from VASP.

- theoretical density (Mg/m³) = 12.53
- DFT formation energy (eV per atom) = 0.190
- crystal system = cubic

Geometry as Quantum ESPRESSO input:
```
&SYSTEM
  ibrav = 0, nat = 4, ntyp = 3
/
ATOMIC_SPECIES
Cu 63.55 Cu.upf
Fe 55.84 Fe.upf
Hf 178.49 Hf.upf
CELL_PARAMETERS angstrom
3.531 -2.390 1.336
1.929 0.873 3.935
-0.410 -2.894 3.381
ATOMIC_POSITIONS crystal
Cu 0.250 0.250 0.250
Fe 0.500 0.500 0.500
Hf 0.000 0.000 0.000
Hf 0.750 0.750 0.750
```


Record 16
# HfFeCu

A relaxed structure of HfFeCu (PBE-GGA, the Open Quantum Materials Database). Values from VASP.

- theoretical density (Mg/m³) = 10.22
- DFT formation energy (eV per atom) = 0.393
- crystal system = cubic

Geometry as Quantum ESPRESSO input:
```
&SYSTEM
  ibrav = 0, nat = 3, ntyp = 3
/
ATOMIC_SPECIES
Cu 63.55 Cu.upf
Fe 55.84 Fe.upf
Hf 178.49 Hf.upf
CELL_PARAMETERS angstrom
-0.617 -2.337 3.301
-3.288 -2.426 0.203
0.435 -4.060 -0.258
ATOMIC_POSITIONS crystal
Cu 0.000 0.000 0.000
Fe 0.250 0.250 0.250
Hf 0.750 0.750 0.750
```


Record 17
# HfFeCu

A relaxed structure of HfFeCu (PBE-GGA, the Open Quantum Materials Database). Values from VASP.

- theoretical density (Mg/m³) = 9.62
- DFT formation energy (eV per atom) = 0.753
- crystal system = cubic

Geometry as Quantum ESPRESSO input:
```
&SYSTEM
  ibrav = 0, nat = 3, ntyp = 3
/
ATOMIC_SPECIES
Cu 63.55 Cu.upf
Fe 55.84 Fe.upf
Hf 178.49 Hf.upf
CELL_PARAMETERS angstrom
0.000 2.952 2.952
2.952 0.000 2.952
2.952 2.952 0.000
ATOMIC_POSITIONS crystal
Cu 0.250 0.250 0.250
Fe 0.750 0.750 0.750
Hf 0.000 0.000 0.000
```


Record 18
# HfInFeCu

A relaxed structure of HfInFeCu (PBE-GGA, the Open Quantum Materials Database). Values from VASP.

- distance to the lowest polymorph of the same formula (eV per formula unit) = 0.00
- theoretical density (Mg/m³) = 10.63
- crystal system = cubic

Geometry as Quantum ESPRESSO input:
```
&SYSTEM
  ibrav = 0, nat = 4, ntyp = 4
/
ATOMIC_SPECIES
Cu 63.55 Cu.upf
Fe 55.84 Fe.upf
Hf 178.49 Hf.upf
In 114.82 In.upf
CELL_PARAMETERS angstrom
1.215 -3.076 3.053
-3.086 -1.785 2.747
-1.252 -4.293 -0.509
ATOMIC_POSITIONS crystal
Cu 0.750 0.750 0.750
Fe 0.250 0.250 0.250
Hf 0.500 0.500 0.500
In 0.000 0.000 0.000
```


Record 19
# HfInFeCu

A relaxed structure of HfInFeCu (PBE-GGA, the Open Quantum Materials Database). Values from VASP.

- distance to the lowest polymorph of the same formula (eV per formula unit) = 1.03
- theoretical density (Mg/m³) = 10.39
- crystal system = cubic

Geometry as Quantum ESPRESSO input:
```
&SYSTEM
  ibrav = 0, nat = 4, ntyp = 4
/
ATOMIC_SPECIES
Cu 63.55 Cu.upf
Fe 55.84 Fe.upf
Hf 178.49 Hf.upf
In 114.82 In.upf
CELL_PARAMETERS angstrom
0.000 3.207 3.207
3.207 0.000 3.207
3.207 3.207 0.000
ATOMIC_POSITIONS crystal
Cu 0.750 0.750 0.750
Fe 0.500 0.500 0.500
Hf 0.250 0.250 0.250
In 0.000 0.000 0.000
```


Record 20
# HfInFeCu

A relaxed structure of HfInFeCu (PBE-GGA, the Open Quantum Materials Database). Values from VASP.

- distance to the lowest polymorph of the same formula (eV per formula unit) = 0.89
- theoretical density (Mg/m³) = 10.27
- crystal system = cubic

Geometry as Quantum ESPRESSO input:
```
&SYSTEM
  ibrav = 0, nat = 4, ntyp = 4
/
ATOMIC_SPECIES
Cu 63.55 Cu.upf
Fe 55.84 Fe.upf
Hf 178.49 Hf.upf
In 114.82 In.upf
CELL_PARAMETERS angstrom
-0.305 0.746 4.481
-2.669 -2.644 2.571
1.859 -2.947 2.930
ATOMIC_POSITIONS crystal
Cu 0.500 0.500 0.500
Fe 0.750 0.750 0.750
Hf 0.250 0.250 0.250
In 0.000 0.000 0.000
```


Calculated total energy / eV/atom: -4.938, -5.068, -4.850, -4.882, -7.143, -6.986, -7.008, -5.565, -7.098, -7.047, -5.674, -5.816, -5.999, -4.083, -7.794, -6.934, -6.574, -6.239, -5.980, -6.017
Calculated volume / Å³ per atom: 18.72, 16.82, 16.44, 13.99, 13.50, 14.15, 14.12, 16.47, 13.52, 13.47, 17.37, 16.35, 16.80, 13.25, 15.78, 16.14, 17.14, 16.12, 16.49, 16.68